Entry 1:
Here is a relaxed VReSn2Ru crystal from Alexandria via LeMat-Bulk. Energies are from PBE-GGA.

a = 5.008 Å, b = 5.008 Å, c = 4.353 Å
α = 90.00°, β = 90.00°, γ = 90.00°
Space group P4/mmm (No. 123)
One atom of each set of equivalent atoms:
V (0.000, 0.000, 0.000) x1
Re (0.500, 0.500, 0.500) x1
Sn (0.000, 0.500, 0.000) x2
Ru (0.000, 0.000, 0.500) x1

Mass density (Mg/m³): 8.75



Entry 2:
Here is a relaxed Y2ReSnRu crystal from Alexandria via LeMat-Bulk. Energies are from PBE-GGA.

a = 5.388 Å, b = 5.388 Å, c = 4.638 Å
α = 90.00°, β = 90.00°, γ = 90.00°
Space group P4/mmm (No. 123)
One atom of each set of equivalent atoms:
Y (0.000, 0.500, 0.000) x2
Re (0.000, 0.000, 0.000) x1
Sn (0.500, 0.500, 0.500) x1
Ru (0.000, 0.000, 0.500) x1

Mass density (Mg/m³): 7.20



Entry 3:
Here is a relaxed Sr4ReRu crystal from Alexandria via LeMat-Bulk. Energies are from PBE-GGA.

a = 8.991 Å, b = 8.991 Å, c = 8.991 Å
α = 90.00°, β = 90.00°, γ = 90.00°
Space group F-43m (No. 216)
One atom of each set of equivalent atoms:
Sr (0.125, 0.125, 0.125) x16
Re (0.250, 0.250, 0.750) x4
Ru (0.000, 0.000, 0.500) x4

Mass density (Mg/m³): 5.83



Entry 4:
Here is a relaxed SrReRu4 crystal from Alexandria via LeMat-Bulk. Energies are from PBE-GGA.

a = 7.387 Å, b = 7.387 Å, c = 7.387 Å
α = 90.00°, β = 90.00°, γ = 90.00°
Space group F-43m (No. 216)
One atom of each set of equivalent atoms:
Sr (0.000, 0.000, 0.000) x4
Re (0.250, 0.250, 0.750) x4
Ru (0.125, 0.125, 0.375) x16

Mass density (Mg/m³): 11.17



Entry 5:
Here is a relaxed SrReRu crystal from Alexandria via LeMat-Bulk. Energies are from PBE-GGA.

a = 6.410 Å, b = 6.410 Å, c = 6.410 Å
α = 90.00°, β = 90.00°, γ = 90.00°
Space group F-43m (No. 216)
One atom of each set of equivalent atoms:
Sr (0.000, 0.000, 0.000) x4
Re (0.000, 0.000, 0.500) x4
Ru (0.250, 0.250, 0.250) x4

Mass density (Mg/m³): 9.46
Polymorph energy (0 for the lowest one) (eV per formula unit): 2.04



Entry 6:
Here is a relaxed SrReRu crystal from Alexandria via LeMat-Bulk. Energies are from PBE-GGA.

a = 4.1145 Å, b = 4.1145 Å, c = 5.0775 Å
α = 90.00°, β = 90.00°, γ = 120.00°
Space group P3m1 (No. 156)
One atom of each set of equivalent atoms:
Sr (0.0000, 0.0000, 0.0000) x1
Re (0.3333, 0.6667, 0.5233) x1
Ru (0.6667, 0.3333, 0.4714) x1

Mass density (Mg/m³): 8.36
Polymorph energy (0 for the lowest one) (eV per formula unit): 0.00



Entry 7:
Here is a relaxed SrReRu crystal from Alexandria via LeMat-Bulk. Energies are from PBE-GGA.

a = 6.550 Å, b = 6.550 Å, c = 6.550 Å
α = 90.00°, β = 90.00°, γ = 90.00°
Space group F-43m (No. 216)
One atom of each set of equivalent atoms:
Sr (0.000, 0.000, 0.000) x4
Re (0.250, 0.250, 0.750) x4
Ru (0.250, 0.250, 0.250) x4

Mass density (Mg/m³): 8.86
Polymorph energy (0 for the lowest one) (eV per formula unit): 6.09



Entry 8:
Here is a relaxed SrReRu crystal from Alexandria via LeMat-Bulk. Energies are from PBE-GGA.

a = 2.9201 Å, b = 2.9201 Å, c = 7.5925 Å
α = 90.00°, β = 90.00°, γ = 120.00°
Space group P3m1 (No. 156)
One atom of each set of equivalent atoms:
Sr (0.0000, 0.0000, 0.0000) x1
Re (0.6667, 0.3333, 0.3727) x1
Ru (0.3333, 0.6667, 0.6348) x1

Mass density (Mg/m³): 11.10
Polymorph energy (0 for the lowest one) (eV per formula unit): 1.38



Entry 9:
Here is a relaxed SrReRu crystal from Alexandria via LeMat-Bulk. Energies are from PBE-GGA.

a = 3.201 Å, b = 3.201 Å, c = 12.379 Å
α = 90.00°, β = 90.00°, γ = 90.00°
Space group I4mm (No. 107)
One atom of each set of equivalent atoms:
Sr (0.000, 0.000, 0.000) x2
Re (0.000, 0.000, 0.296) x2
Ru (0.000, 0.000, 0.706) x2

Mass density (Mg/m³): 9.81
Polymorph energy (0 for the lowest one) (eV per formula unit): 0.05



Entry 10:
Here is a relaxed SrRe4Ru crystal from Alexandria via LeMat-Bulk. Energies are from PBE-GGA.

a = 7.519 Å, b = 7.519 Å, c = 7.519 Å
α = 90.00°, β = 90.00°, γ = 90.00°
Space group F-43m (No. 216)
One atom of each set of equivalent atoms:
Sr (0.000, 0.000, 0.000) x4
Re (0.125, 0.125, 0.625) x16
Ru (0.250, 0.250, 0.250) x4

Mass density (Mg/m³): 14.59



Entry 11:
Here is a relaxed Sr3ReRu crystal from Alexandria via LeMat-Bulk. Energies are from PBE-GGA.

a = 5.555 Å, b = 5.555 Å, c = 5.555 Å
α = 90.00°, β = 90.00°, γ = 90.00°
Space group Pm-3m (No. 221)
One atom of each set of equivalent atoms:
Sr (0.000, 0.000, 0.500) x3
Re (0.500, 0.500, 0.500) x1
Ru (0.000, 0.000, 0.000) x1

Mass density (Mg/m³): 5.33
Polymorph energy (0 for the lowest one) (eV per formula unit): 0.00



Entry 12:
Here is a relaxed SrTiRe2Ru crystal from Alexandria via LeMat-Bulk. Energies are from PBE-GGA.

a = 4.666 Å, b = 4.666 Å, c = 4.491 Å
α = 90.00°, β = 90.00°, γ = 90.00°
Space group P4/mmm (No. 123)
One atom of each set of equivalent atoms:
Sr (0.000, 0.000, 0.000) x1
Ti (0.000, 0.000, 0.500) x1
Re (0.000, 0.500, 0.000) x2
Ru (0.500, 0.500, 0.500) x1

Mass density (Mg/m³): 10.34



Entry 13:
Here is a relaxed SrTlReRu crystal from Alexandria via LeMat-Bulk. Energies are from PBE-GGA.

a = 4.2024 Å, b = 4.2024 Å, c = 20.0280 Å
α = 90.00°, β = 90.00°, γ = 120.00°
Space group R3m (No. 160, hexagonal axes)
One atom of each set of equivalent atoms:
Sr (0.0000, 0.0000, 0.0000) x3
Tl (0.0000, 0.0000, 0.7898) x3
Re (0.0000, 0.0000, 0.5410) x3
Ru (0.0000, 0.0000, 0.2222) x3

Mass density (Mg/m³): 9.42
Polymorph energy (0 for the lowest one) (eV per formula unit): 0.00



Entry 14:
Here is a relaxed SrTlReRu crystal from Alexandria via LeMat-Bulk. Energies are from PBE-GGA.

a = 3.139 Å, b = 3.139 Å, c = 8.695 Å
α = 90.00°, β = 90.00°, γ = 90.00°
Space group P4mm (No. 99)
One atom of each set of equivalent atoms:
Sr (0.000, 0.000, 0.000) x1
Tl (0.500, 0.500, 0.679) x1
Re (0.500, 0.500, 0.281) x1
Ru (0.000, 0.000, 0.428) x1

Mass density (Mg/m³): 11.22
Polymorph energy (0 for the lowest one) (eV per formula unit): 0.24



Entry 15:
Here is a relaxed SrTlReRu crystal from Alexandria via LeMat-Bulk. Energies are from PBE-GGA.

a = 3.142 Å, b = 3.142 Å, c = 8.606 Å
α = 90.00°, β = 90.00°, γ = 90.00°
Space group P4mm (No. 99)
One atom of each set of equivalent atoms:
Sr (0.000, 0.000, 0.000) x1
Tl (0.500, 0.500, 0.686) x1
Re (0.000, 0.000, 0.429) x1
Ru (0.500, 0.500, 0.279) x1

Mass density (Mg/m³): 11.32
Polymorph energy (0 for the lowest one) (eV per formula unit): 0.20



Entry 16:
Here is a relaxed SrTlReRu crystal from Alexandria via LeMat-Bulk. Energies are from PBE-GGA.

a = 4.1458 Å, b = 4.1458 Å, c = 7.1473 Å
α = 90.00°, β = 90.00°, γ = 120.00°
Space group P3m1 (No. 156)
One atom of each set of equivalent atoms:
Sr (0.0000, 0.0000, 0.0000) x1
Tl (0.6667, 0.3333, 0.6506) x1
Re (0.3333, 0.6667, 0.3596) x1
Ru (0.0000, 0.0000, 0.4160) x1

Mass density (Mg/m³): 9.04
Polymorph energy (0 for the lowest one) (eV per formula unit): 0.38



Entry 17:
Here is a relaxed SrTlReRu crystal from Alexandria via LeMat-Bulk. Energies are from PBE-GGA.

a = 3.554 Å, b = 3.644 Å, c = 14.880 Å
α = 90.00°, β = 90.00°, γ = 90.00°
Space group Imm2 (No. 44)
One atom of each set of equivalent atoms:
Sr (0.000, 0.000, 0.000) x2
Tl (0.000, 0.000, 0.662) x2
Re (0.000, 0.500, 0.321) x2
Ru (0.000, 0.500, 0.819) x2

Mass density (Mg/m³): 9.98
Polymorph energy (0 for the lowest one) (eV per formula unit): 0.89



Entry 18:
Here is a relaxed SrTlReRu crystal from Alexandria via LeMat-Bulk. Energies are from PBE-GGA.

a = 4.140 Å, b = 5.149 Å, c = 5.683 Å
α = 114.55°, β = 108.15°, γ = 91.82°
Space group P1 (No. 1)
One atom of each set of equivalent atoms:
Sr (0.000, 0.000, 0.000) x1
Tl (0.626, 0.620, 0.310) x1
Re (0.754, 0.228, 0.531) x1
Ru (0.347, 0.431, 0.730) x1

Mass density (Mg/m³): 9.35
Polymorph energy (0 for the lowest one) (eV per formula unit): 1.10



Entry 19:
Here is a relaxed TaRe3Ru crystal from Alexandria via LeMat-Bulk. Energies are from PBE-GGA.

a = 4.601 Å, b = 4.601 Å, c = 4.601 Å
α = 90.00°, β = 90.00°, γ = 90.00°
Space group Pm-3m (No. 221)
One atom of each set of equivalent atoms:
Ta (0.000, 0.000, 0.000) x1
Re (0.000, 0.500, 0.500) x3
Ru (0.500, 0.500, 0.500) x1

Mass density (Mg/m³): 14.33
Polymorph energy (0 for the lowest one) (eV per formula unit): 0.00



Entry 20:
Here is a relaxed Ta4Re2Ru crystal from Alexandria via LeMat-Bulk. Energies are from PBE-GGA.

a = 6.296 Å, b = 6.296 Å, c = 6.341 Å
α = 90.00°, β = 90.00°, γ = 90.00°
Space group I4/mmm (No. 139)
One atom of each set of equivalent atoms:
Ta (0.250, 0.250, 0.250) x8
Re (0.000, 0.500, 0.000) x4
Ru (0.000, 0.000, 0.000) x2

Mass density (Mg/m³): 15.82



In eV per formula unit, the energy relative to the elements values for the records above are, in order, 7.4 1.9 10.4 4.0 3.5 1.5 7.6 2.9 1.5 4.1 6.4 16.1 1.2 1.4 1.4 1.5 2.0 2.3 10.0 -0.7.
In states/eV/cell, the DOS(E_F) values for the records above are, in order, 4.6 4.6 29.1 33.1 8.8 4.5 20.5 2.7 4.6 30.2 3.8 9.0 3.4 1.9 2.1 2.2 6.3 2.9 5.0 6.9.
In eV/atom, the VASP energy values for the records above are, in order, -6.287 -7.345 -3.002 -7.869 -6.630 -7.311 -5.282 -6.851 -7.294 -9.434 -4.083 -5.532 -6.154 -6.095 -6.104 -6.059 -5.931 -5.879 -9.702 -11.753.